# Ba2FeCoNi | Alexandria | GGA-PBE | relaxed
data_Ba2FeCoNi
_chemical_formula_sum 'Ba2 Fe1 Co1 Ni1'
_cell_length_a 5.7815
_cell_length_b 5.7815
_cell_length_c 4.2767
_cell_angle_alpha 90.00
_cell_angle_beta 90.00
_cell_angle_gamma 90.00
_symmetry_space_group_name_H-M 'P 4/m m m'
_symmetry_Int_Tables_number 123
_symmetry_space_group_name_Hall '-P 4 2'
loop_
_atom_site_label
_atom_site_fract_x
_atom_site_fract_y
_atom_site_fract_z
Ba1 0.0000 0.5000 0.0000
Fe1 0.0000 0.0000 0.0000
Co1 0.5000 0.5000 0.5000
Ni1 0.0000 0.0000 0.5000
# ΔE to the lowest computed polymorph (kJ/mol of atoms): 19.5
# N(E_F) (states/eV per cell): 6.75
# Formation energy (meV per atom): 929.2
# ρ (g/cm³): 5.2

---

# BaFeCo2Ni | Alexandria | GGA-PBE | relaxed
data_BaFeCo2Ni
_chemical_formula_sum 'Ba1 Fe1 Co2 Ni1'
_cell_length_a 4.6185
_cell_length_b 4.6185
_cell_length_c 4.5741
_cell_angle_alpha 90.00
_cell_angle_beta 90.00
_cell_angle_gamma 90.00
_symmetry_space_group_name_H-M 'P 4/m m m'
_symmetry_Int_Tables_number 123
_symmetry_space_group_name_Hall '-P 4 2'
loop_
_atom_site_label
_atom_site_fract_x
_atom_site_fract_y
_atom_site_fract_z
Ba1 0.0000 0.0000 0.0000
Fe1 0.5000 0.5000 0.0000
Co1 0.0000 0.5000 0.5000
Ni1 0.5000 0.5000 0.5000
# N(E_F) (states/eV per cell): 6.07
# Formation energy (meV per atom): 747.9
# ρ (g/cm³): 6.3

---

# Ba2FeCoNi | Alexandria | GGA-PBE | relaxed
data_Ba2FeCoNi
_chemical_formula_sum 'Ba2 Fe1 Co1 Ni1'
_cell_length_a 5.8522
_cell_length_b 5.8522
_cell_length_c 4.3775
_cell_angle_alpha 90.00
_cell_angle_beta 90.00
_cell_angle_gamma 90.00
_symmetry_space_group_name_H-M 'P 4/m m m'
_symmetry_Int_Tables_number 123
_symmetry_space_group_name_Hall '-P 4 2'
loop_
_atom_site_label
_atom_site_fract_x
_atom_site_fract_y
_atom_site_fract_z
Ba1 0.0000 0.5000 0.0000
Fe1 0.0000 0.0000 0.5000
Co1 0.0000 0.0000 0.0000
Ni1 0.5000 0.5000 0.5000
# ΔE to the lowest computed polymorph (kJ/mol of atoms): 0.0
# N(E_F) (states/eV per cell): 6.61
# Formation energy (meV per atom): 726.9
# ρ (g/cm³): 5.0